DFT (GGA-PBE) results for a geometry-optimized DyThP2 structure.

```
8
Lattice="4.065 0.000 0.000 -2.033 3.520 0.000 0.000 0.000 13.397" Properties=species:S:1:pos:R:3 pbc="T T T"
Dy 0.000 2.347 3.349
Dy 2.033 1.173 10.048
Th 0.000 0.000 0.000
Th 0.000 0.000 6.699
P 0.000 2.347 8.394
P 0.000 2.347 11.702
P 2.033 1.173 1.696
P 2.033 1.173 5.003
```

## Properties
- calculated formation energy (eV per atom) = -1.533
- DFT total energy (eV for the cell shown) = -57.9
- density of states at the Fermi level (states/eV/atom) = 0.56
- ΔE to the lowest computed polymorph (eV/atom) = 0.0528